Entry 1:
This record from Alexandria describes crystalline SmEr2PaAs4 at its relaxed geometry. The functional is GGA-PBE.

Unit cell a=7.0974 b=4.1205 c=7.1343 alpha=90.00 beta=109.48 gamma=90.00
Element x y z (fractional)
Sm 0.0000 0.0000 0.0000
Er 0.5000 0.0000 0.5000
Er 0.5000 0.5000 0.0000
Pa 0.0000 0.5000 0.5000
As 0.2525 0.0000 0.7466
As 0.2540 0.5000 0.2577
As 0.7460 0.5000 0.7423
As 0.7475 0.0000 0.2534

Summary:
* spin magnetization: 0.3 μB per formula unit
* energy relative to the elements: -1402 meV/atom

Entry 2:
This record from Alexandria describes crystalline B2C at its relaxed geometry. The functional is GGA-PBE.

Unit cell a=4.6077 b=2.7260 c=7.3224 alpha=90.00 beta=90.51 gamma=90.00
Element x y z (fractional)
B 0.0000 0.0000 0.0000
B 0.0005 0.5000 0.4021
B 0.0717 0.0000 0.7778
B 0.2374 0.5000 0.9135
B 0.2623 0.5000 0.6817
B 0.5003 0.0000 0.4352
B 0.5871 0.5000 0.8208
B 0.6127 0.5000 0.0678
C 0.3295 0.5000 0.4651
C 0.7419 0.0000 0.1509
C 0.7437 0.0000 0.8003
C 0.8257 0.0000 0.3606

Summary:
* excess energy over the best structure of this formula in the dataset: 100 meV/atom
* spin magnetization: 0.0 μB per formula unit
* energy relative to the elements: 286 meV/atom

Entry 3:
This record from Alexandria describes crystalline LiBRh2 at its relaxed geometry. The functional is GGA-PBE.

Unit cell a=5.6663 b=5.6663 c=5.7303 alpha=90.00 beta=90.00 gamma=149.90
Element x y z (fractional)
Li 0.0024 0.9976 0.7500
Li 0.9976 0.0024 0.2500
B 0.2074 0.7926 0.2500
B 0.7926 0.2074 0.7500
Rh 0.3562 0.6438 0.5007
Rh 0.3562 0.6438 0.9993
Rh 0.6438 0.3562 0.0007
Rh 0.6438 0.3562 0.4993

Summary:
* spin magnetization: 0.0 μB per formula unit
* energy relative to the elements: -330 meV/atom

Entry 4:
This record from Alexandria describes crystalline PmHo2Se at its relaxed geometry. The functional is GGA-PBE.

Unit cell a=9.8470 b=9.8470 c=9.8470 alpha=21.97 beta=21.97 gamma=21.97
Element x y z (fractional)
Pm 0.0000 0.0000 0.0000
Ho 0.2321 0.2321 0.2321
Ho 0.7679 0.7679 0.7679
Se 0.5000 0.5000 0.5000

Summary:
* excess energy over the best structure of this formula in the dataset: 0 meV/atom
* uncorrected formation energy: -0.8067 eV per atom
* spin magnetization: 0.0 μB per formula unit

Entry 5:
This record from Alexandria describes crystalline Na3Si at its relaxed geometry. The functional is GGA-PBE.

Unit cell a=3.3184 b=5.2501 c=5.7782 alpha=90.00 beta=90.00 gamma=90.00
Element x y z (fractional)
Na 0.0000 0.0000 0.0000
Na 0.0000 0.5000 0.3364
Na 0.5000 0.0000 0.5527
Si 0.5000 0.5000 0.8401

Summary:
* uncorrected formation energy: 0.2196 eV per atom
* spin magnetization: 0.0 μB per formula unit

Entry 6:
This record from Alexandria describes crystalline Zr2ReCl at its relaxed geometry. The functional is GGA-PBE.

Unit cell a=7.7318 b=7.7318 c=7.7318 alpha=137.24 beta=137.24 gamma=62.07
Element x y z (fractional)
Zr 0.1045 0.6250 0.9795
Zr 0.3750 0.3545 0.4795
Zr 0.6455 0.1250 0.0205
Zr 0.8750 0.8955 0.5205
Re 0.0000 0.0000 0.0000
Re 0.7500 0.2500 0.5000
Cl 0.2500 0.7500 0.5000
Cl 0.5000 0.5000 0.0000

Summary:
* excess energy over the best structure of this formula in the dataset: 1082 meV/atom
* uncorrected formation energy: 0.4467 eV per atom
* spin magnetization: 0.0 μB per formula unit

Entry 7:
This record from Alexandria describes crystalline TlCr2Se2 at its relaxed geometry. The functional is GGA-PBE.

Unit cell a=5.3324 b=5.3324 c=5.3324 alpha=125.62 beta=125.62 gamma=80.51
Element x y z (fractional)
Tl 0.0000 0.0000 0.0000
Cr 0.3858 0.3858 0.0000
Cr 0.6142 0.6142 0.0000
Se 0.2500 0.7500 0.5000
Se 0.7500 0.2500 0.5000

Summary:
* excess energy over the best structure of this formula in the dataset: 292 meV/atom
* uncorrected formation energy: 0.1060 eV per atom
* spin magnetization: 0.9 μB per formula unit

Entry 8:
This record from Alexandria describes crystalline MgCdAu2 at its relaxed geometry. The functional is GGA-PBE.

Unit cell a=9.1686 b=9.1686 c=9.1686 alpha=19.80 beta=19.80 gamma=19.80
Element x y z (fractional)
Mg 0.0000 0.0000 0.0000
Cd 0.5000 0.5000 0.5000
Au 0.2551 0.2551 0.2551
Au 0.7449 0.7449 0.7449

Summary:
* spin magnetization: 0.0 μB per formula unit
* energy relative to the elements: -256 meV/atom